1.
Below is a geometry-optimized Ba2UPaSe6 structure, with properties calculated at the PBE level.

Properties
- Uncorrected formation energy: -1.609 eV/atom
- Final energy: -6.16 eV per atom

abc: 7.5251 7.9402 13.2408
angles: 90.00 124.55 90.00
Last column: nearest neighbours and their distance in Å.
Sites, in units of the cell vectors:
Ba: 0.2277 0.0718 0.2498  6 Se 3.31-3.54
Ba: 0.2277 0.4282 0.7498  6 Se 3.31-3.54
Ba: 0.7723 0.5718 0.2502  6 Se 3.31-3.54
Ba: 0.7723 0.9282 0.7502  6 Se 3.31-3.54
U: 0.5000 0.0000 0.0000  6 Se 2.84-2.87
U: 0.5000 0.5000 0.5000  6 Se 2.84-2.87
Pa: 0.0000 0.0000 0.5000  6 Se 2.80-2.83
Pa: 0.0000 0.5000 0.0000  6 Se 2.80-2.83
Se: 0.1457 0.2031 0.9505  1 Pa 2.83, 1 U 2.86
Se: 0.1457 0.2969 0.4505  1 Pa 2.83, 1 U 2.86
Se: 0.2519 0.6986 0.9511  1 Pa 2.81, 1 U 2.87
Se: 0.2519 0.8014 0.4511  1 Pa 2.81, 1 U 2.87
Se: 0.3411 0.0226 0.7479  1 Pa 2.80, 1 U 2.84
Se: 0.3411 0.4774 0.2479  1 Pa 2.80, 1 U 2.84
Se: 0.6589 0.5226 0.7521  1 Pa 2.80, 1 U 2.84
Se: 0.6589 0.9774 0.2521  1 Pa 2.80, 1 U 2.84
Se: 0.7481 0.1986 0.5489  1 Pa 2.81, 1 U 2.87
Se: 0.7481 0.3014 0.0489  1 Pa 2.81, 1 U 2.87
Se: 0.8543 0.7031 0.5495  1 Pa 2.83, 1 U 2.86
Se: 0.8543 0.7969 0.0495  1 Pa 2.83, 1 U 2.86

---

2.
Below is a geometry-optimized Ba2PaVSe6 structure, with properties calculated at the PBE level.

Properties
- Uncorrected formation energy: -1.478 eV/atom
- Final energy: -5.81 eV per atom

abc: 7.3356 7.4707 12.7439
angles: 90.00 124.76 90.00
Last column: nearest neighbours and their distance in Å.
Sites, in units of the cell vectors:
Ba: 0.2344 0.0528 0.2480  8 Se 3.34-3.62
Ba: 0.2344 0.4472 0.7480  8 Se 3.34-3.62
Ba: 0.7656 0.5528 0.2520  8 Se 3.34-3.62
Ba: 0.7656 0.9472 0.7520  8 Se 3.34-3.62
Pa: 0.5000 0.0000 0.0000  6 Se 2.75-2.77
Pa: 0.5000 0.5000 0.5000  6 Se 2.75-2.77
V: 0.0000 0.0000 0.5000  6 Se 2.56-2.58
V: 0.0000 0.5000 0.0000  6 Se 2.56-2.58
Se: 0.1694 0.2204 0.9674  1 V 2.58, 1 Pa 2.76
Se: 0.1694 0.2796 0.4674  1 V 2.58, 1 Pa 2.76
Se: 0.2482 0.7025 0.9682  1 V 2.57, 1 Pa 2.77
Se: 0.2482 0.7975 0.4682  1 V 2.57, 1 Pa 2.77
Se: 0.3027 0.0025 0.7407  1 V 2.56, 1 Pa 2.75
Se: 0.3027 0.4975 0.2407  1 V 2.56, 1 Pa 2.75
Se: 0.6973 0.5025 0.7593  1 V 2.56, 1 Pa 2.75
Se: 0.6973 0.9975 0.2593  1 V 2.56, 1 Pa 2.75
Se: 0.7518 0.2025 0.5318  1 V 2.57, 1 Pa 2.77
Se: 0.7518 0.2975 0.0318  1 V 2.57, 1 Pa 2.77
Se: 0.8306 0.7204 0.5326  1 V 2.58, 1 Pa 2.76
Se: 0.8306 0.7796 0.0326  1 V 2.58, 1 Pa 2.76

---

3.
Below is a geometry-optimized Ba2YPaSe6 structure, with properties calculated at the PBE level.

Properties
- Uncorrected formation energy: -1.821 eV/atom
- Final energy: -5.89 eV per atom

abc: 7.4757 7.8870 13.1503
angles: 90.00 124.52 90.00
Last column: nearest neighbours and their distance in Å.
Sites, in units of the cell vectors:
Ba: 0.2266 0.0738 0.2492  6 Se 3.31-3.53
Ba: 0.2266 0.4262 0.7492  6 Se 3.31-3.53
Ba: 0.7734 0.5738 0.2508  6 Se 3.31-3.53
Ba: 0.7734 0.9262 0.7508  6 Se 3.31-3.53
Y: 0.0000 0.0000 0.5000  6 Se 2.83-2.87
Y: 0.0000 0.5000 0.0000  6 Se 2.83-2.87
Pa: 0.5000 0.0000 0.0000  6 Se 2.76-2.79
Pa: 0.5000 0.5000 0.5000  6 Se 2.76-2.79
Se: 0.1532 0.1958 0.9533  1 Pa 2.77, 1 Y 2.87
Se: 0.1532 0.3042 0.4533  1 Pa 2.77, 1 Y 2.87
Se: 0.2599 0.7037 0.9520  1 Pa 2.79, 1 Y 2.85
Se: 0.2599 0.7963 0.4520  1 Pa 2.79, 1 Y 2.85
Se: 0.3441 0.0189 0.7533  1 Pa 2.76, 1 Y 2.83
Se: 0.3441 0.4811 0.2533  1 Pa 2.76, 1 Y 2.83
Se: 0.6559 0.5189 0.7467  1 Pa 2.76, 1 Y 2.83
Se: 0.6559 0.9811 0.2467  1 Pa 2.76, 1 Y 2.83
Se: 0.7401 0.2037 0.5480  1 Pa 2.79, 1 Y 2.85
Se: 0.7401 0.2963 0.0480  1 Pa 2.79, 1 Y 2.85
Se: 0.8468 0.6958 0.5467  1 Pa 2.77, 1 Y 2.87
Se: 0.8468 0.8042 0.0467  1 Pa 2.77, 1 Y 2.87

---

4.
Below is a geometry-optimized BaPaSn2 structure, with properties calculated at the PBE level.

Properties
- E_form: -86 meV/atom
- Energy relative to the lowest polymorph listed for this composition: 0.223 eV per atom
- Final energy: -4.94 eV per atom

abc: 5.2776 5.2776 4.3879
angles: 90.00 90.00 90.00
Last column: nearest neighbours and their distance in Å.
Sites, in units of the cell vectors:
Ba: 0.0000 0.0000 0.0000  8 Sn 3.43, 4 Pa 3.73
Pa: 0.5000 0.5000 0.0000  8 Sn 3.43, 4 Ba 3.73
Sn: 0.0000 0.5000 0.5000  4 Pa 3.43, 4 Ba 3.43, 4 Sn 3.73
Sn: 0.5000 0.0000 0.5000  4 Pa 3.43, 4 Ba 3.43, 4 Sn 3.73